Entry 1:
# AcLa6Pr2Y, optimized geometry, DFT PBE-GGA
# DOS(E_F)	1.58	states/eV per atom
# M_tot	0.0	μB/f.u.
# electronic total energy	-4.87	eV per atom
data_AcLa6Pr2Y
_cell_length_a 9.4526
_cell_length_b 15.7474
_cell_length_c 10.1401
_cell_angle_alpha 90.00
_cell_angle_beta 97.69
_cell_angle_gamma 90.00
_space_group_name_H-M_alt 'C 1 2/c 1'
_space_group_IT_number 15
loop_
_space_group_symop_operation_xyz
'x,y,z'
'-x,-y,-z'
'-x,y,-z+1/2'
'x,-y,z+1/2'
'x+1/2,y+1/2,z'
'-x+1/2,-y+1/2,-z'
'-x+1/2,y+1/2,-z+1/2'
'x+1/2,-y+1/2,z+1/2'
loop_
_atom_site_label
_atom_site_type_symbol
_atom_site_fract_x
_atom_site_fract_y
_atom_site_fract_z
Ac1 Ac 0.0000 0.0199 0.2500
La1 La 0.0677 0.1858 0.9506
La2 La 0.1006 0.3967 0.1197
La3 La 0.2149 0.2264 0.3114
Pr1 Pr 0.2488 0.4475 0.4570
Y1 Y 0.0000 0.4086 0.7500

***

Entry 2:
# TlPSCl2, optimized geometry, DFT PBE-GGA
# DOS(E_F)	0.43	states/eV per atom
# M_tot	1.7	μB/f.u.
# ΔE to the lowest computed polymorph	875	meV/atom
# formation energy from raw total energies	0.56	eV per atom
data_TlPSCl2
_cell_length_a 5.1997
_cell_length_b 5.1997
_cell_length_c 5.4111
_cell_angle_alpha 90.00
_cell_angle_beta 90.00
_cell_angle_gamma 90.00
_space_group_name_H-M_alt 'P 4/m m m'
_space_group_IT_number 123
_space_group_name_Hall '-P 4 2'
loop_
_atom_site_label
_atom_site_type_symbol
_atom_site_fract_x
_atom_site_fract_y
_atom_site_fract_z
Tl1 Tl 0.0000 0.0000 0.0000
P1 P 0.5000 0.5000 0.5000
S1 S 0.0000 0.0000 0.5000
Cl1 Cl 0.0000 0.5000 0.0000

***

Entry 3:
# NaCa3Os, optimized geometry, DFT PBE-GGA
# DOS(E_F)	1.51	states/eV per atom
# M_tot	0.0	μB/f.u.
# ΔE to the lowest computed polymorph	0	meV/atom
data_NaCa3Os
_cell_length_a 5.5988
_cell_length_b 5.5988
_cell_length_c 5.5988
_cell_angle_alpha 90.00
_cell_angle_beta 90.00
_cell_angle_gamma 90.00
_space_group_name_H-M_alt 'P m -3 m'
_space_group_IT_number 221
_space_group_name_Hall '-P 4 2 3'
loop_
_atom_site_label
_atom_site_type_symbol
_atom_site_fract_x
_atom_site_fract_y
_atom_site_fract_z
Na1 Na 0.0000 0.0000 0.0000
Ca1 Ca 0.0000 0.5000 0.5000
Os1 Os 0.5000 0.5000 0.5000

***

Entry 4:
# PPdS2O, optimized geometry, DFT PBE-GGA
# DOS(E_F)	0.90	states/eV per atom
# M_tot	0.0	μB/f.u.
# ΔE to the lowest computed polymorph	0	meV/atom
# formation energy from raw total energies	0.78	eV per atom
data_PPdS2O
_cell_length_a 4.2585
_cell_length_b 4.2585
_cell_length_c 4.1058
_cell_angle_alpha 90.00
_cell_angle_beta 90.00
_cell_angle_gamma 90.00
_space_group_name_H-M_alt 'P 4/m m m'
_space_group_IT_number 123
_space_group_name_Hall '-P 4 2'
loop_
_atom_site_label
_atom_site_type_symbol
_atom_site_fract_x
_atom_site_fract_y
_atom_site_fract_z
P1 P 0.0000 0.0000 0.0000
Pd1 Pd 0.5000 0.5000 0.0000
S1 S 0.0000 0.5000 0.5000
O1 O 0.0000 0.0000 0.5000

***

Entry 5:
# Cs3Li2TmCl9, optimized geometry, DFT PBE-GGA
# DOS(E_F)	1.08	states/eV per atom
# M_tot	1.0	μB/f.u.
# formation energy from raw total energies	-1.87	eV per atom
data_Cs3Li2TmCl9
_cell_length_a 7.3932
_cell_length_b 7.3932
_cell_length_c 9.2390
_cell_angle_alpha 90.00
_cell_angle_beta 90.00
_cell_angle_gamma 120.00
_space_group_name_H-M_alt 'P -3 m 1'
_space_group_IT_number 164
_space_group_name_Hall '-P 3 2"'
loop_
_atom_site_label
_atom_site_type_symbol
_atom_site_fract_x
_atom_site_fract_y
_atom_site_fract_z
Cs1 Cs 0.0000 0.0000 0.0000
Cs2 Cs 0.3333 0.6667 0.6731
Li1 Li 0.3333 0.6667 0.1520
Tm1 Tm 0.0000 0.0000 0.5000
Cl1 Cl 0.0000 0.5000 0.0000
Cl2 Cl 0.1657 0.3315 0.3362

***

Entry 6:
# P2PtAuO, optimized geometry, DFT PBE-GGA
# DOS(E_F)	1.09	states/eV per atom
# M_tot	0.0	μB/f.u.
# ΔE to the lowest computed polymorph	481	meV/atom
# formation energy from raw total energies	1.01	eV per atom
data_P2PtAuO
_cell_length_a 4.8217
_cell_length_b 4.8217
_cell_length_c 3.8272
_cell_angle_alpha 90.00
_cell_angle_beta 90.00
_cell_angle_gamma 90.00
_space_group_name_H-M_alt 'P 4/m m m'
_space_group_IT_number 123
_space_group_name_Hall '-P 4 2'
loop_
_atom_site_label
_atom_site_type_symbol
_atom_site_fract_x
_atom_site_fract_y
_atom_site_fract_z
P1 P 0.0000 0.5000 0.0000
Pt1 Pt 0.0000 0.0000 0.5000
Au1 Au 0.5000 0.5000 0.0000
O1 O 0.5000 0.5000 0.5000

***

Entry 7:
# NdThSiSe, optimized geometry, DFT PBE-GGA
# DOS(E_F)	0.48	states/eV per atom
# M_tot	0.0	μB/f.u.
# formation energy from raw total energies	-1.25	eV per atom
data_NdThSiSe
_cell_length_a 4.2586
_cell_length_b 4.2586
_cell_length_c 20.9369
_cell_angle_alpha 90.00
_cell_angle_beta 90.00
_cell_angle_gamma 120.00
_space_group_name_H-M_alt 'R 3 m'
_space_group_IT_number 160
_space_group_name_Hall 'R 3 -2"'
loop_
_atom_site_label
_atom_site_type_symbol
_atom_site_fract_x
_atom_site_fract_y
_atom_site_fract_z
Nd1 Nd 0.0000 0.0000 0.0000
Th1 Th 0.0000 0.0000 0.4902
Si1 Si 0.0000 0.0000 0.7466
Se1 Se 0.0000 0.0000 0.2443

***

Entry 8:
# K2Be2As2H, optimized geometry, DFT PBE-GGA
# DOS(E_F)	0.30	states/eV per atom
# M_tot	0.0	μB/f.u.
# electronic total energy	-3.44	eV per atom
data_K2Be2As2H
_cell_length_a 11.1089
_cell_length_b 3.9624
_cell_length_c 7.6857
_cell_angle_alpha 90.00
_cell_angle_beta 123.40
_cell_angle_gamma 90.00
_space_group_name_H-M_alt 'C 1 2/m 1'
_space_group_IT_number 12
loop_
_space_group_symop_operation_xyz
'x,y,z'
'-x,-y,-z'
'-x,y,-z'
'x,-y,z'
'x+1/2,y+1/2,z'
'-x+1/2,-y+1/2,-z'
'-x+1/2,y+1/2,-z'
'x+1/2,-y+1/2,z'
loop_
_atom_site_label
_atom_site_type_symbol
_atom_site_fract_x
_atom_site_fract_y
_atom_site_fract_z
K1 K 0.0553 0.0000 0.3274
Be1 Be 0.1633 0.5000 0.0649
As1 As 0.2187 0.5000 0.8062
H1 H 0.0000 0.5000 0.0000